Entry 1:
RbTeMo2Pd: optimized geometry, PBE.

Properties
formation energy without anion corrections: 1328 meV/atom
ΔE to the lowest computed polymorph: 0 meV/atom

Cell: 5.2062 5.4651 5.2062 Å, 90.00 90.00 90.00°
Closest atoms and distances in Å follow each position.
Atoms (fractional coordinates):
Mo1 0.0000 0.0000 0.5000  2 Pd 2.60
Mo2 0.5000 0.0000 0.0000  2 Pd 2.60
Rb1 0.5000 0.5000 0.5000  4 Te 3.68, 8 Mo 3.77
Te1 0.0000 0.5000 0.0000  2 Pd 2.73
Pd1 0.0000 0.0000 0.0000  4 Mo 2.60, 2 Te 2.73

Entry 2:
FeTc2Ag: optimized geometry, PBE.

Properties
calculated formation energy: 0.43 eV/atom
ΔE to the lowest computed polymorph: 110 meV/atom

Cell: 4.7181 4.7181 4.7181 Å, 131.28 131.26 71.39°
Closest atoms and distances in Å follow each position.
Atoms (fractional coordinates):
Fe1 0.2500 0.7500 0.5000  8 Tc 2.73-2.75, 4 Ag 2.73
Ag1 0.5000 0.5000 0.0000  4 Fe 2.73, 8 Tc 2.73-2.75
Tc1 0.9999 0.9999 0.0000  4 Tc 2.73, 4 Fe 2.73, 4 Ag 2.75
Tc2 0.7501 0.2501 0.5000  4 Tc 2.73, 4 Ag 2.73, 4 Fe 2.75

Entry 3:
AcNd5Pd2: optimized geometry, PBE.

Properties
calculated formation energy: -0.33 eV/atom

Cell: 4.0322 6.8720 18.9429 Å, 90.00 90.00 107.06°
Closest atoms and distances in Å follow each position.
Atoms (fractional coordinates):
Nd1 0.6495 0.2990 0.9604  2 Pd 2.89
Nd2 0.6495 0.2990 0.5396  2 Pd 2.89
Nd3 0.3505 0.7010 0.0396  2 Pd 2.89
Nd4 0.0584 0.1168 0.3919  2 Pd 3.30, 6 Nd 3.47-3.65
Nd5 0.9416 0.8832 0.6081  2 Pd 3.30, 6 Nd 3.47-3.65
Nd6 0.9416 0.8832 0.8919  2 Pd 3.30, 6 Nd 3.47-3.65
Nd7 0.0584 0.1168 0.1081  2 Pd 3.30, 6 Nd 3.47-3.65
Nd8 0.3505 0.7010 0.4604  2 Pd 2.89
Nd9 0.3765 0.7530 0.7500  2 Pd 2.91
Nd10 0.6235 0.2470 0.2500  2 Pd 2.91
Ac1 0.6434 0.2869 0.7500  4 Pd 3.35, 3 Nd 3.51-3.67
Ac2 0.3566 0.7131 0.2500  4 Pd 3.35, 3 Nd 3.51-3.67
Pd1 0.2443 0.4886 0.8729  3 Nd 2.89-2.91
Pd2 0.7557 0.5114 0.1271  3 Nd 2.89-2.91
Pd3 0.7557 0.5114 0.3729  3 Nd 2.89-2.91
Pd4 0.2443 0.4886 0.6271  3 Nd 2.89-2.91

Entry 4:
CsSb2IO: optimized geometry, PBE.

Properties
formation energy without anion corrections: 1557 meV/atom
ΔE to the lowest computed polymorph: 1842 meV/atom

Cell: 6.4406 6.4406 6.6124 Å, 90.00 90.00 90.00°
Closest atoms and distances in Å follow each position.
Atoms (fractional coordinates):
Cs1 0.0000 0.0000 0.0000  4 Sb 3.22, 2 I 3.31
I1 0.0000 0.0000 0.5000  2 Cs 3.31
Sb1 0.0000 0.5000 0.0000  2 Cs 3.22
Sb2 0.5000 0.0000 0.0000  2 Cs 3.22
O1 0.5000 0.5000 0.5000  4 I 4.55, 8 Sb 4.62

Entry 5:
Cs2ErPa3O12: optimized geometry, PBE.

Properties
formation energy without anion corrections: -2732 meV/atom

Cell: 8.0067 8.0067 8.0067 Å, 61.84 61.84 61.84°
Closest atoms and distances in Å follow each position.
Atoms (fractional coordinates):
O1 0.9343 0.9343 0.3241  1 Pa 2.05, 1 Er 2.23
O2 0.3241 0.9343 0.9343  1 Pa 2.05, 1 Er 2.23
O3 0.0582 0.6868 0.6868  2 Pa 2.18
O4 0.3132 0.9418 0.3132  2 Pa 2.18
O5 0.3132 0.3132 0.9418  2 Pa 2.18
O6 0.6759 0.0657 0.0657  1 Pa 2.05, 1 Er 2.23
O7 0.9343 0.3241 0.9343  1 Pa 2.05, 1 Er 2.23
O8 0.6868 0.6868 0.0582  2 Pa 2.18
O9 0.0657 0.0657 0.6759  1 Pa 2.05, 1 Er 2.23
O10 0.0657 0.6759 0.0657  1 Pa 2.05, 1 Er 2.23
O11 0.6868 0.0582 0.6868  2 Pa 2.18
O12 0.9418 0.3132 0.3132  2 Pa 2.18
Cs1 0.6347 0.6347 0.6347  9 O 3.44-3.83
Cs2 0.3653 0.3653 0.3653  9 O 3.44-3.83
Pa1 0.0000 0.5000 0.0000  6 O 2.05-2.18
Pa2 0.0000 0.0000 0.5000  6 O 2.05-2.18
Pa3 0.5000 0.0000 0.0000  6 O 2.05-2.18
Er1 0.0000 0.0000 0.0000  6 O 2.23

Entry 6:
Zn4AgSn: optimized geometry, PBE.

Properties
calculated formation energy: 0.07 eV/atom

Cell: 5.3105 5.3105 5.3105 Å, 60.00 60.00 60.00°
Closest atoms and distances in Å follow each position.
Atoms (fractional coordinates):
Ag1 0.0000 0.0000 0.0000  12 Zn 3.11, 4 Sn 3.25
Zn1 0.6259 0.6259 0.6259  6 Zn 2.64-2.67
Zn2 0.1223 0.6259 0.6259  6 Zn 2.64-2.67
Zn3 0.6259 0.6259 0.1223  6 Zn 2.64-2.67
Zn4 0.6259 0.1223 0.6259  6 Zn 2.64-2.67
Sn1 0.2500 0.2500 0.2500  12 Zn 3.12, 4 Ag 3.25

Q: What is the formula in the second record?
A: FeTc2Ag

Please write out number 2 again, unchanged.
FeTc2Ag: optimized geometry, PBE.

Properties
calculated formation energy: 0.43 eV/atom
ΔE to the lowest computed polymorph: 110 meV/atom

Cell: 4.7181 4.7181 4.7181 Å, 131.28 131.26 71.39°
Closest atoms and distances in Å follow each position.
Atoms (fractional coordinates):
Fe1 0.2500 0.7500 0.5000  8 Tc 2.73-2.75, 4 Ag 2.73
Ag1 0.5000 0.5000 0.0000  4 Fe 2.73, 8 Tc 2.73-2.75
Tc1 0.9999 0.9999 0.0000  4 Tc 2.73, 4 Fe 2.73, 4 Ag 2.75
Tc2 0.7501 0.2501 0.5000  4 Tc 2.73, 4 Ag 2.73, 4 Fe 2.75